1.
Entry from the Alexandria database: NaLi2CoH6 after structural relaxation (PBE).

Structure (POSCAR):
```
NaLi2CoH6
1.0
4.583 0.000 0.000
-2.291 3.969 0.000
0.000 0.000 5.571
Na Li Co H
1 2 1 6
direct
0.000 0.000 0.000
0.333 0.667 0.569
0.667 0.333 0.431
0.000 0.000 0.500
0.157 0.314 0.337
0.157 0.843 0.337
0.314 0.157 0.663
0.686 0.843 0.337
0.843 0.157 0.663
0.843 0.686 0.663
```

Results
* space group: P-3m1
* DFT total energy: -3.529 eV/atom

2.
Entry from the Alexandria database: KZn4Pb after structural relaxation (PBE).

Structure (POSCAR):
```
KZn4Pb
1.0
0.000 4.043 4.043
4.043 0.000 4.043
4.043 4.043 0.000
K Zn Pb
1 4 1
direct
0.000 0.000 0.000
0.375 0.375 0.375
0.375 0.375 0.875
0.375 0.875 0.375
0.875 0.375 0.375
0.750 0.750 0.750
```

Results
* space group: F-43m
* ΔH_f (0 K): 0.071 eV/atom

3.
Entry from the Alexandria database: Cr2TcRu after structural relaxation (PBE).

Structure (POSCAR):
```
Cr2TcRu
1.0
0.000 2.978 2.978
2.978 0.000 2.978
2.978 2.978 0.000
Cr Tc Ru
2 1 1
direct
0.000 0.000 0.000
0.250 0.250 0.250
0.500 0.500 0.500
0.750 0.750 0.750
```

Results
* space group: F-43m
* ΔH_f (0 K): 0.252 eV/atom

4.
Entry from the Alexandria database: Ce2U2N7 after structural relaxation (PBE).

Structure (POSCAR):
```
Ce2U2N7
1.0
0.000 5.416 5.416
5.416 0.000 5.416
5.416 5.416 0.000
Ce U N
4 4 14
direct
0.000 0.000 0.000
0.000 0.000 0.500
0.000 0.500 0.000
0.500 0.000 0.000
0.000 0.500 0.500
0.500 0.000 0.500
0.500 0.500 0.000
0.500 0.500 0.500
0.125 0.125 0.125
0.161 0.161 0.589
0.161 0.589 0.161
0.161 0.589 0.589
0.411 0.411 0.839
0.411 0.839 0.411
0.411 0.839 0.839
0.589 0.161 0.161
0.589 0.161 0.589
0.589 0.589 0.161
0.839 0.411 0.411
0.839 0.411 0.839
0.839 0.839 0.411
0.875 0.875 0.875
```

Results
* space group: Fd-3m
* formation energy from raw total energies: -1299 meV/atom
* energy relative to the lowest polymorph listed for this composition: 0 meV per atom